(1)
Material: BeInFe2
Method: DFT, GGA-PBEsol
State: optimized geometry

Cell lengths 2.657, 3.917, 4.996 Å; angles 90.00, 97.01, 90.00 degrees
Fractional positions:
Be1 0.000 0.000 0.000
In1 0.059 0.500 0.661
Fe1 0.477 0.000 0.387
Fe2 0.639 0.500 0.145

space group = Pm
spin magnetization = 4.262 μB per cell
uncorrected energy = -24.04 eV/f.u.
ΔH_f (0 K) = 218 meV per atom
excess energy over the best structure of this formula in the dataset = 0 meV per atom

***

(2)
Material: BeInFe2
Method: DFT, GGA-PBEsol
State: optimized geometry

Cell lengths 4.105, 4.105, 4.105 Å; angles 60.00, 60.00, 60.00 degrees
Fractional positions:
Be1 0.000 0.000 0.000
In1 0.500 0.500 0.500
Fe1 0.250 0.250 0.250
Fe2 0.750 0.750 0.750

space group = Fm-3m
spin magnetization = 2.782 μB per cell
uncorrected energy = -23.62 eV/f.u.
ΔH_f (0 K) = 323 meV per atom
excess energy over the best structure of this formula in the dataset = 105 meV per atom

***

(3)
Material: BeIn2Fe
Method: DFT, GGA-PBEsol
State: optimized geometry

Cell lengths 3.723, 5.097, 5.097 Å; angles 40.19, 90.00, 90.00 degrees
Fractional positions:
Be1 0.000 0.000 0.000
In1 0.000 0.294 0.294
In2 0.500 0.594 0.594
Fe1 0.500 0.880 0.880

space group = Amm2
spin magnetization = 0.583 μB per cell
uncorrected energy = -17.97 eV/f.u.
ΔH_f (0 K) = 240 meV per atom